1.
Computed, not measured: a relaxed structure of Ac2AgTeO8 at the PBE level of DFT.

Cell lengths 5.6509, 5.6509, 6.7199 Å; angles 90.00, 90.00, 120.00 degrees
With the nearest neighbours (Å) after each atom.
Atoms (fractional coordinates):
1 O 0.6667 0.3333 0.5098  1 Ac 2.30
2 O 0.1643 0.3286 0.1612  1 Te 1.94
3 O 0.3286 0.1643 0.8388  1 Te 1.94
4 O 0.6714 0.8357 0.1612  1 Te 1.94
5 O 0.1643 0.8357 0.1612  1 Te 1.94
6 O 0.8357 0.1643 0.8388  1 Te 1.94
7 O 0.3333 0.6667 0.4902  1 Ac 2.30
8 O 0.8357 0.6714 0.8388  1 Te 1.94
9 Ac 0.6667 0.3333 0.1678  1 O 2.30
10 Ac 0.3333 0.6667 0.8322  1 O 2.30
11 Ag 0.0000 0.0000 0.5000  6 O 2.79
12 Te 0.0000 0.0000 0.0000  6 O 1.94

Properties
Space-group type: P-3m1 (164)
Raw formation energy in eV/atom: -1.375
Electronic total energy in eV/atom: -5.865
Crystal system: trigonal
Fermi-level density of states in states/eV per cell: 5.63



2.
Computed, not measured: a relaxed structure of AcAg2TeO6 at the PBE level of DFT.

Cell lengths 5.7187, 6.0862, 8.4215 Å; angles 90.00, 91.25, 90.00 degrees
With the nearest neighbours (Å) after each atom.
Atoms (fractional coordinates):
1 Ag 0.0124 0.9482 0.2706  5 O 2.34-2.51
2 Ag 0.9876 0.0518 0.7294  5 O 2.34-2.51
3 Ag 0.5124 0.5518 0.7706  5 O 2.34-2.51
4 Ag 0.4876 0.4482 0.2294  5 O 2.34-2.51
5 O 0.6659 0.2481 0.6010  1 Te 1.97
6 O 0.7692 0.8202 0.5472  1 Te 1.92
7 O 0.1659 0.2519 0.1010  1 Te 1.97
8 O 0.2692 0.6798 0.0472  1 Te 1.92
9 O 0.8341 0.7481 0.8990  1 Te 1.97
10 O 0.3341 0.7519 0.3990  1 Te 1.97
11 O 0.7308 0.3202 0.9528  1 Te 1.92
12 O 0.3650 0.9064 0.7076  1 Te 2.01
13 O 0.2308 0.1798 0.4528  1 Te 1.92
14 O 0.6350 0.0936 0.2924  1 Te 2.01
15 O 0.8650 0.5936 0.2076  1 Te 2.01
16 O 0.1350 0.4064 0.7924  1 Te 2.01
17 Te 0.5000 0.0000 0.5000  6 O 1.92-2.01
18 Te 0.0000 0.5000 0.0000  6 O 1.92-2.01
19 Ac 0.5000 0.0000 0.0000  6 O 2.39-2.63
20 Ac 0.0000 0.5000 0.5000  6 O 2.39-2.63

Properties
Space-group type: P2_1/c (14)
Raw formation energy in eV/atom: -1.276
Electronic total energy in eV/atom: -5.546
Crystal system: monoclinic
Fermi-level density of states in states/eV per cell: 11.52



3.
Computed, not measured: a relaxed structure of AcAg2TeO4 at the PBE level of DFT.

Cell lengths 7.2363, 7.2363, 7.6368 Å; angles 112.05, 112.05, 107.47 degrees
With the nearest neighbours (Å) after each atom.
Atoms (fractional coordinates):
1 O 0.7044 0.3400 0.5926  1 Ag 2.11, 1 Te 2.21
2 O 0.3326 0.4463 0.6691  1 Te 2.13, 1 Ag 2.16
3 O 0.6674 0.5537 0.3309  1 Te 2.13, 1 Ag 2.16
4 O 0.9463 0.8326 0.1691  1 Te 2.13, 1 Ag 2.16
5 O 0.0537 0.1674 0.8309  1 Te 2.13, 1 Ag 2.16
6 O 0.2956 0.6600 0.4074  1 Ag 2.11, 1 Te 2.21
7 O 0.8400 0.2044 0.0926  1 Ag 2.11, 1 Te 2.21
8 O 0.1600 0.7956 0.9074  1 Ag 2.11, 1 Te 2.21
9 Ac 0.0000 0.5000 0.0000  6 O 2.49-2.58
10 Ac 0.0000 0.5000 0.5000  6 O 2.49-2.58
11 Ag 0.0000 0.0000 0.5000  2 O 2.16
12 Ag 0.5000 0.0000 0.0000  2 O 2.11
13 Ag 0.5000 0.5000 0.0000  2 O 2.16
14 Ag 0.5000 0.0000 0.5000  2 O 2.11
15 Te 0.0000 0.0000 0.0000  4 O 2.13-2.21
16 Te 0.5000 0.5000 0.5000  4 O 2.13-2.21

Properties
Space-group type: C2/c (15)
Raw formation energy in eV/atom: -1.244
Electronic total energy in eV/atom: -5.342
Crystal system: monoclinic
Fermi-level density of states in states/eV per cell: 2.50



4.
Computed, not measured: a relaxed structure of AcTl4Ag3O12 at the PBE level of DFT.

Cell lengths 7.2115, 7.2115, 7.2115 Å; angles 109.47, 109.47, 109.47 degrees
With the nearest neighbours (Å) after each atom.
Atoms (fractional coordinates):
1 O 0.5361 0.6931 0.8430  1 Ag 2.07, 2 Tl 2.27
2 O 0.6931 0.8430 0.5361  1 Ag 2.07, 2 Tl 2.27
3 O 0.4639 0.3069 0.1570  1 Ag 2.07, 2 Tl 2.27
4 O 0.3069 0.1570 0.4639  1 Ag 2.07, 2 Tl 2.27
5 O 0.3069 0.8430 0.1499  1 Ag 2.07, 2 Tl 2.27
6 O 0.8430 0.1499 0.3069  1 Ag 2.07, 2 Tl 2.27
7 O 0.8430 0.5361 0.6931  1 Ag 2.07, 2 Tl 2.27
8 O 0.1570 0.8501 0.6931  1 Ag 2.07, 2 Tl 2.27
9 O 0.6931 0.1570 0.8501  1 Ag 2.07, 2 Tl 2.27
10 O 0.8501 0.6931 0.1570  1 Ag 2.07, 2 Tl 2.27
11 O 0.1570 0.4639 0.3069  1 Ag 2.07, 2 Tl 2.27
12 O 0.1499 0.3069 0.8430  1 Ag 2.07, 2 Tl 2.27
13 Ag 0.5000 0.5000 0.0000  4 O 2.07
14 Ag 0.0000 0.5000 0.5000  4 O 2.07
15 Ag 0.5000 0.0000 0.5000  4 O 2.07
16 Ac 0.0000 0.0000 0.0000  12 O 2.87
17 Tl 0.5000 0.0000 0.0000  6 O 2.27
18 Tl 0.0000 0.5000 0.0000  6 O 2.27
19 Tl 0.5000 0.5000 0.5000  6 O 2.27
20 Tl 0.0000 0.0000 0.5000  6 O 2.27

Properties
Space-group type: Im-3 (204)
Raw formation energy in eV/atom: -0.722
Electronic total energy in eV/atom: -4.804
Crystal system: cubic
Fermi-level density of states in states/eV per cell: 0.14